This record from Alexandria describes an optimized crystal structure of CeLuTh. The functional is PBE-GGA.

The structure in POSCAR format:
```
CeLuTh
1.0
3.520 0.000 0.000
0.000 3.520 0.000
-1.760 -1.760 7.309
Ce Lu Th
1 1 1
direct
0.670 0.670 0.339
0.999 0.999 0.998
0.331 0.331 0.663
```

Values from the calculation:
Fermi-level density of states, states/eV/f.u.: 5.5
Formation enthalpy at 0 K, kcal/mol of atoms: 1.29
Distance to the lowest polymorph of the same formula, meV per atom: 11